VASP calculation (PBE-GGA) on a geometry-optimized Mg2Ag4Au3 structure.

```
Mg2Ag4Au3
1.0
-3.858 -0.331 1.232
-1.816 -4.804 -0.277
0.737 -3.261 8.133
Mg Ag Au
2 4 3
Cartesian
-1.312 -1.365 2.224
-3.625 -7.031 6.863
-3.504 -3.251 1.554
-3.968 -4.125 6.569
-0.969 -4.270 2.518
-1.433 -5.145 7.533
-2.277 -5.680 4.744
0.000 0.000 0.000
-2.660 -2.716 4.343
```

total moment = 0.00 μB per cell
raw total energy = -2.977 eV/atom
calculated formation energy = -0.263 eV per atom